(1)
DFT (SCAN) results for PIr3Rh at its PBEsol-relaxed geometry.

Summary:
Spin magnetization = 0.00 μB per formula unit
Formation energy = 2.4273 eV per atom

The structure in CIF format:
```
data_PIr3Rh
_symmetry_space_group_name_H-M 'P 1'
_symmetry_Int_Tables_number 1
_cell_length_a 4.617
_cell_length_b 4.617
_cell_length_c 4.617
_cell_angle_alpha 90.00
_cell_angle_beta 90.00
_cell_angle_gamma 90.00
loop_
_symmetry_equiv_pos_as_xyz
'x,y,z'
loop_
_atom_site_label
_atom_site_type_symbol
_atom_site_fract_x
_atom_site_fract_y
_atom_site_fract_z
P1 P 0.000 0.000 0.000
Ir1 Ir 0.000 0.500 0.500
Ir2 Ir 0.500 0.000 0.500
Ir3 Ir 0.500 0.500 0.000
Rh1 Rh 0.500 0.500 0.500
```

(2)
DFT (SCAN) results for CuPBr3 at its PBEsol-relaxed geometry.

Summary:
Spin magnetization = 0.00 μB per formula unit
ΔE_f (raw) = 0.446 eV per atom

The structure in CIF format:
```
data_CuPBr3
_symmetry_space_group_name_H-M 'P 1'
_symmetry_Int_Tables_number 1
_cell_length_a 5.003
_cell_length_b 5.003
_cell_length_c 5.003
_cell_angle_alpha 90.00
_cell_angle_beta 90.00
_cell_angle_gamma 90.00
loop_
_symmetry_equiv_pos_as_xyz
'x,y,z'
loop_
_atom_site_label
_atom_site_type_symbol
_atom_site_fract_x
_atom_site_fract_y
_atom_site_fract_z
Cu1 Cu 0.000 0.000 0.000
P1 P 0.500 0.500 0.500
Br1 Br 0.000 0.500 0.500
Br2 Br 0.500 0.000 0.500
Br3 Br 0.500 0.500 0.000
```

(3)
DFT (SCAN) results for SrLi2Os at its PBEsol-relaxed geometry.

Summary:
Spin magnetization = 0.14 μB per formula unit
Formation energy = 0.5354 eV per atom

The structure in CIF format:
```
data_SrLi2Os
_symmetry_space_group_name_H-M 'P 1'
_symmetry_Int_Tables_number 1
_cell_length_a 8.763
_cell_length_b 2.754
_cell_length_c 6.879
_cell_angle_alpha 90.00
_cell_angle_beta 93.70
_cell_angle_gamma 90.00
loop_
_symmetry_equiv_pos_as_xyz
'x,y,z'
loop_
_atom_site_label
_atom_site_type_symbol
_atom_site_fract_x
_atom_site_fract_y
_atom_site_fract_z
Sr1 Sr 0.000 0.000 0.000
Sr2 Sr 0.500 0.500 0.000
Li1 Li 0.013 0.500 0.579
Li2 Li 0.268 0.500 0.403
Li3 Li 0.513 0.000 0.579
Li4 Li 0.768 0.000 0.403
Os1 Os 0.256 0.000 0.734
Os2 Os 0.756 0.500 0.734
```

What is the spin magnetization in the first record? 0.00 μB per formula unit